Entry 1:
The following is a DFT calculation (PBE) of crystalline Rb3Nd5O12 at its relaxed geometry.

Crystal system: cubic
Final energy in eV/atom: -6.32

Lattice parameters (Å, degrees): 13.1414 13.1414 13.1414 109.47 109.47 109.47
With the nearest neighbours (Å) after each atom.
Atoms (fractional coordinates):
Rb  0.8750  0.7500  0.1250  8 O 3.03-3.13
Rb  0.2500  0.6250  0.8750  8 O 3.03-3.13
Rb  0.3750  0.6250  0.2500  8 O 3.03-3.13
Rb  0.8750  0.1250  0.2500  8 O 3.03-3.13
Rb  0.6250  0.2500  0.3750  8 O 3.03-3.13
Rb  0.6250  0.3750  0.7500  8 O 3.03-3.13
Rb  0.1250  0.8750  0.7500  8 O 3.03-3.13
Rb  0.3750  0.7500  0.6250  8 O 3.03-3.13
Rb  0.1250  0.2500  0.8750  8 O 3.03-3.13
Rb  0.7500  0.8750  0.6250  8 O 3.03-3.13
Rb  0.7500  0.3750  0.1250  8 O 3.03-3.13
Rb  0.2500  0.1250  0.3750  8 O 3.03-3.13
O  0.5953  0.6067  0.4151  2 Nd 2.22-2.36
O  0.9886  0.3933  0.3085  2 Nd 2.22-2.36
O  0.0953  0.1802  0.4886  2 Nd 2.22-2.36
O  0.9151  0.8198  0.8085  2 Nd 2.22-2.36
O  0.1802  0.0849  0.6915  2 Nd 2.22-2.36
O  0.6067  0.5953  0.9151  2 Nd 2.22-2.36
O  0.8933  0.3085  0.4886  2 Nd 2.22-2.36
O  0.3933  0.9886  0.8085  2 Nd 2.22-2.36
O  0.0953  0.9151  0.1067  2 Nd 2.22-2.36
O  0.5849  0.8933  0.4047  2 Nd 2.22-2.36
O  0.0114  0.6067  0.6915  2 Nd 2.22-2.36
O  0.4151  0.1067  0.5953  2 Nd 2.22-2.36
O  0.8933  0.5849  0.9047  2 Nd 2.22-2.36
O  0.9886  0.5953  0.1802  2 Nd 2.22-2.36
O  0.5114  0.1915  0.1067  2 Nd 2.22-2.36
O  0.0849  0.9047  0.3933  2 Nd 2.22-2.36
O  0.4047  0.0114  0.3198  2 Nd 2.22-2.36
O  0.4047  0.3933  0.5849  2 Nd 2.22-2.36
O  0.1067  0.6915  0.5114  2 Nd 2.22-2.36
O  0.3198  0.5114  0.4047  2 Nd 2.22-2.36
O  0.0114  0.4047  0.8198  2 Nd 2.22-2.36
O  0.6802  0.4886  0.5953  2 Nd 2.22-2.36
O  0.6802  0.1915  0.5849  2 Nd 2.22-2.36
O  0.6915  0.1067  0.0114  2 Nd 2.22-2.36
O  0.4886  0.8085  0.8933  2 Nd 2.22-2.36
O  0.8198  0.9151  0.3085  2 Nd 2.22-2.36
O  0.4886  0.6802  0.0953  2 Nd 2.22-2.36
O  0.5114  0.3198  0.9047  2 Nd 2.22-2.36
O  0.8085  0.4886  0.3933  2 Nd 2.22-2.36
O  0.0849  0.1802  0.1915  2 Nd 2.22-2.36
O  0.8085  0.3198  0.9151  2 Nd 2.22-2.36
O  0.8198  0.9047  0.0114  2 Nd 2.22-2.36
O  0.9047  0.0849  0.8933  2 Nd 2.22-2.36
O  0.4151  0.3085  0.3198  2 Nd 2.22-2.36
O  0.1915  0.5114  0.6067  2 Nd 2.22-2.36
O  0.3085  0.8933  0.9886  2 Nd 2.22-2.36
O  0.5953  0.9886  0.6802  2 Nd 2.22-2.36
O  0.1067  0.4151  0.0953  2 Nd 2.22-2.36
O  0.5849  0.6915  0.6802  2 Nd 2.22-2.36
O  0.6915  0.5849  0.1802  2 Nd 2.22-2.36
O  0.3933  0.4047  0.0849  2 Nd 2.22-2.36
O  0.9151  0.0953  0.6067  2 Nd 2.22-2.36
O  0.6067  0.0114  0.1915  2 Nd 2.22-2.36
O  0.1915  0.6802  0.0849  2 Nd 2.22-2.36
O  0.3085  0.4151  0.8198  2 Nd 2.22-2.36
O  0.9047  0.8198  0.5114  2 Nd 2.22-2.36
O  0.1802  0.0953  0.9886  2 Nd 2.22-2.36
O  0.3198  0.8085  0.4151  2 Nd 2.22-2.36
Nd  0.7500  0.6250  0.3750  4 O 2.22
Nd  0.6250  0.8750  0.2500  4 O 2.22
Nd  0.8750  0.2500  0.6250  4 O 2.22
Nd  0.1250  0.7500  0.3750  4 O 2.22
Nd  0.6250  0.7500  0.8750  4 O 2.22
Nd  0.0000  0.5000  0.5000  6 O 2.36
Nd  0.2500  0.8750  0.1250  4 O 2.22
Nd  0.3750  0.1250  0.7500  4 O 2.22
Nd  0.8750  0.6250  0.7500  4 O 2.22
Nd  0.0000  0.0000  0.0000  6 O 2.36
Nd  0.0000  0.5000  0.0000  6 O 2.36
Nd  0.5000  0.5000  0.0000  6 O 2.36
Nd  0.2500  0.3750  0.6250  4 O 2.22
Nd  0.0000  0.0000  0.5000  6 O 2.36
Nd  0.3750  0.2500  0.1250  4 O 2.22
Nd  0.5000  0.5000  0.5000  6 O 2.36
Nd  0.5000  0.0000  0.5000  6 O 2.36
Nd  0.5000  0.0000  0.0000  6 O 2.36
Nd  0.7500  0.1250  0.8750  4 O 2.22
Nd  0.1250  0.3750  0.2500  4 O 2.22

Entry 2:
The following is a DFT calculation (PBE) of crystalline PrEuDySc at its relaxed geometry.

Crystal system: cubic
Final energy in eV/atom: -6.34

Lattice parameters (Å, degrees): 5.6819 5.6819 5.6819 60.00 60.00 60.00
With the nearest neighbours (Å) after each atom.
Atoms (fractional coordinates):
Eu  0.5000  0.5000  0.5000  4 Dy 3.48, 4 Pr 3.48
Dy  0.2500  0.2500  0.2500  4 Sc 3.48, 4 Eu 3.48
Sc  0.0000  0.0000  0.0000  4 Pr 3.48, 4 Dy 3.48
Pr  0.7500  0.7500  0.7500  4 Sc 3.48, 4 Eu 3.48

Entry 3:
The following is a DFT calculation (PBE) of crystalline ZrS2I at its relaxed geometry.

Crystal system: monoclinic
Polymorph energy (0 for the lowest one) in meV per atom: 0
Final energy in eV/atom: -5.63

Lattice parameters (Å, degrees): 3.6582 6.3175 11.2464 81.03 90.00 90.00
With the nearest neighbours (Å) after each atom.
Atoms (fractional coordinates):
Zr  0.4185  0.2500  0.9999  6 S 2.57
Zr  0.9185  0.7500  0.0001  6 S 2.57
I  0.4346  0.7940  0.4987  2 I 3.19
I  0.9346  0.2060  0.5013  2 I 3.19
S  0.4185  0.5466  0.1330  3 Zr 2.57
S  0.4185  0.9531  0.8673  3 Zr 2.57
S  0.9185  0.0469  0.1327  3 Zr 2.57
S  0.9185  0.4534  0.8670  3 Zr 2.57

Which of these has the lowest final energy?
PrEuDySc

The highest final energy belongs to which entry?
ZrS2I

final energy of number 3 (ZrS2I)?
-5.63 eV/atom

final energy of number 2 (PrEuDySc)?
-6.34 eV/atom